An optimized crystal structure of Ti3AgSe, computed with PBE.

Output
* energy above the lowest structure with this stoichiometry: 0 meV/atom
* final energy: -5.878 eV per atom
* formation energy from raw total energies: 0.13 eV/atom

Lattice parameters (Å, degrees): 4.670 4.670 4.670 90.00 90.00 90.00
Last column: magnetic moment on the atom in μB.
Sites, in units of the cell vectors:
Se: 0.000 0.000 0.000  -0.01
Ag: 0.500 0.500 0.500  0.02
Ti: 0.000 0.500 0.000  0.20
Ti: 0.000 0.000 0.500  0.15
Ti: 0.500 0.000 0.000  0.41